Record 1
LaNi3Ir: PBEsol geometry, SCAN.

Lattice parameters (Å, degrees): 4.540 4.540 4.540 90.00 90.00 90.00
Last column: magnetic moment on the atom in μB.
Sites, in units of the cell vectors:
La 0.500 0.500 0.500  -0.06
Ni 0.500 0.000 0.000  0.82
Ni 0.000 0.000 0.500  0.82
Ni 0.000 0.500 0.000  0.82
Ir 0.000 0.000 0.000  0.68

Results
Its space group is Pm-3m (221). For the formation energy, the calculation gives 1.12 eV/f.u. The value obtained for the spin magnetization is 2.89 μB per cell. The density comes out at 9001 kg/m³. The calculation puts the density of states at the Fermi level at 2.91 states/eV per cell.

=====

Record 2
LaNiIr2: PBEsol geometry, SCAN.

Lattice parameters (Å, degrees): 4.094 4.094 4.900 114.69 114.70 90.00
Sites, in units of the cell vectors:
Ir 0.250 0.750 0.500
Ir 0.000 0.000 0.000
Ni 0.750 0.250 0.500
La 0.500 0.500 0.000

Results
Its space group is I-4m2 (119). For the formation energy, the calculation gives 0.38 eV/f.u. The value obtained for the spin magnetization is 0.00 μB per cell. The density comes out at 14587 kg/m³. The calculation puts the density of states at the Fermi level at 4.43 states/eV per cell.

=====

Record 3
LaNiIr2: PBEsol geometry, SCAN.

Lattice parameters (Å, degrees): 2.991 4.840 4.840 108.55 90.00 90.00
Sites, in units of the cell vectors:
La 0.500 0.000 0.000
Ir 0.000 0.000 0.500
Ir 0.000 0.500 0.000
Ni 0.500 0.500 0.500

Results
Its space group is Cmmm (65). For the formation energy, the calculation gives 0.56 eV/f.u. The value obtained for the spin magnetization is 0.01 μB per cell. The density comes out at 14547 kg/m³. The calculation puts the density of states at the Fermi level at 3.49 states/eV per cell.

=====

Record 4
La2NiIr: PBEsol geometry, SCAN.

Lattice parameters (Å, degrees): 3.542 4.947 4.947 89.96 89.95 89.95
Sites, in units of the cell vectors:
Ir 0.500 0.500 0.500
La 0.000 0.000 0.500
Ni 0.500 0.000 0.000
La 0.000 0.500 0.000

Results
Its space group is P4/mmm (123). For the formation energy, the calculation gives -1.92 eV/f.u. The value obtained for the spin magnetization is 0.00 μB per cell. The density comes out at 10127 kg/m³. The calculation puts the density of states at the Fermi level at 1.91 states/eV per cell.

=====

Record 5
LaNiIr2: PBEsol geometry, SCAN.

Lattice parameters (Å, degrees): 3.175 3.175 6.762 90.00 90.00 90.00
Sites, in units of the cell vectors:
La 0.000 0.000 0.513
Ir 0.500 0.500 0.194
Ni 0.500 0.500 0.817
Ir 0.000 0.000 0.977

Results
Its space group is P4mm (99). For the formation energy, the calculation gives 0.37 eV/f.u. The value obtained for the spin magnetization is 0.00 μB per cell. The density comes out at 14176 kg/m³. The calculation puts the density of states at the Fermi level at 4.59 states/eV per cell.

=====

Record 6
LaNiIr2: PBEsol geometry, SCAN.

Lattice parameters (Å, degrees): 2.968 4.662 4.752 90.00 90.00 90.00
Sites, in units of the cell vectors:
Ir 0.500 0.500 0.000
Ir 0.000 0.000 0.000
Ni 0.000 0.500 0.500
La 0.500 0.000 0.500

Results
Its space group is Pmmm (47). For the formation energy, the calculation gives 0.31 eV/f.u. The value obtained for the spin magnetization is 0.00 μB per cell. The density comes out at 14704 kg/m³. The calculation puts the density of states at the Fermi level at 2.59 states/eV per cell.

=====

Record 7
La2NiIr: PBEsol geometry, SCAN.

Lattice parameters (Å, degrees): 3.940 4.191 5.771 90.00 109.96 90.00
Sites, in units of the cell vectors:
Ir 0.666 0.500 0.333
La 0.384 0.500 0.769
La 0.109 0.000 0.217
Ni 0.825 0.000 0.650

Results
Its space group is Amm2 (38). For the formation energy, the calculation gives -2.39 eV/f.u. The value obtained for the spin magnetization is 0.00 μB per cell. The density comes out at 9803 kg/m³. The calculation puts the density of states at the Fermi level at 2.08 states/eV per cell.

=====

Record 8
La3Ir3O11: PBEsol geometry, SCAN.

Lattice parameters (Å, degrees): 9.445 9.445 9.445 90.00 90.00 90.00
Last column: magnetic moment on the atom in μB.
Sites, in units of the cell vectors:
O 0.362 0.000 0.000  0.06
O 0.291 0.666 0.997  0.01
O 0.606 0.394 0.394  0.00
O 0.291 0.334 0.003  0.01
Ir 0.000 0.500 0.658  0.11
O 0.638 0.000 0.000  0.06
O 0.500 0.138 0.500  0.06
Ir 0.000 0.158 0.500  0.11
La 0.750 0.250 0.250  0.00
O 0.500 0.500 0.862  0.06
O 0.334 0.003 0.291  0.01
O 0.394 0.606 0.394  0.00
Ir 0.500 0.342 0.000  0.11
O 0.497 0.791 0.834  0.01
O 0.000 0.000 0.638  0.06
O 0.666 0.997 0.291  0.01
O 0.666 0.003 0.709  0.01
O 0.166 0.503 0.791  0.01
Ir 0.500 0.000 0.842  0.11
La 0.750 0.750 0.750  0.00
O 0.503 0.209 0.834  0.01
O 0.138 0.500 0.500  0.06
O 0.862 0.500 0.500  0.06
O 0.394 0.394 0.606  0.00
O 0.894 0.894 0.894  0.00
O 0.106 0.894 0.106  0.00
O 0.709 0.334 0.997  0.01
O 0.497 0.209 0.166  0.01
La 0.864 0.864 0.136  0.00
O 0.003 0.291 0.334  0.01
La 0.364 0.636 0.636  0.00
O 0.709 0.666 0.003  0.01
O 0.000 0.638 0.000  0.06
O 0.894 0.106 0.106  0.00
Ir 0.342 0.000 0.500  0.11
Ir 0.500 0.000 0.158  0.11
Ir 0.158 0.500 0.000  0.11
Ir 0.000 0.500 0.342  0.11
O 0.500 0.862 0.500  0.06
La 0.136 0.136 0.136  0.00
O 0.000 0.000 0.362  0.06
La 0.364 0.364 0.364  0.00
O 0.503 0.791 0.166  0.01
La 0.636 0.636 0.364  0.00
Ir 0.658 0.000 0.500  0.11
Ir 0.500 0.658 0.000  0.11
O 0.003 0.709 0.666  0.01
La 0.864 0.136 0.864  0.00
La 0.250 0.750 0.250  0.00
O 0.106 0.106 0.894  0.00
O 0.000 0.362 0.000  0.06
O 0.791 0.166 0.503  0.01
O 0.997 0.709 0.334  0.01
La 0.136 0.864 0.864  0.00
O 0.997 0.291 0.666  0.01
O 0.209 0.166 0.497  0.01
Ir 0.000 0.842 0.500  0.11
O 0.791 0.834 0.497  0.01
O 0.834 0.497 0.791  0.01
Ir 0.842 0.500 0.000  0.11
O 0.209 0.834 0.503  0.01
O 0.166 0.497 0.209  0.01
O 0.834 0.503 0.209  0.01
O 0.500 0.500 0.138  0.06
O 0.334 0.997 0.709  0.01
La 0.636 0.364 0.636  0.00
La 0.250 0.250 0.750  0.00
O 0.606 0.606 0.606  0.00

Results
Its uncorrected formation energy is -37.80 eV per formula unit. Its space group is Pn-3 (201). The value obtained for the spin magnetization is 2.47 μB per cell. The density comes out at 9219 kg/m³. The calculation puts the density of states at the Fermi level at 27.89 states/eV per cell.

=====

Record 9
LaIrO2: PBEsol geometry, SCAN.

Lattice parameters (Å, degrees): 4.352 4.352 7.162 107.69 107.69 90.00
Sites, in units of the cell vectors:
O 0.125 0.054 0.750
Ir 0.250 0.750 0.500
O 0.625 0.696 0.750
La 0.750 0.250 0.500
O 0.946 0.375 0.250
O 0.304 0.875 0.250
La 0.500 0.500 0.000
Ir 0.000 0.000 0.000

Results
Its uncorrected formation energy is -6.02 eV per formula unit. Its space group is I-42d (122). The value obtained for the spin magnetization is 0.00 μB per cell. The density comes out at 9845 kg/m³. The calculation puts the density of states at the Fermi level at 2.57 states/eV per cell.

=====

Record 10
LaPIrO2: PBEsol geometry, SCAN.

Lattice parameters (Å, degrees): 4.070 4.070 4.576 90.00 90.00 90.00
Last column: magnetic moment on the atom in μB.
Sites, in units of the cell vectors:
P 0.000 0.000 0.500  0.01
O 0.000 0.500 0.000  0.08
La 0.500 0.500 0.500  0.01
O 0.500 0.000 0.000  0.08
Ir 0.000 0.000 0.000  0.32

Results
Its uncorrected formation energy is -5.73 eV per formula unit. Its space group is P4/mmm (123). The value obtained for the spin magnetization is 0.54 μB per cell. The density comes out at 8633 kg/m³. The calculation puts the density of states at the Fermi level at 3.51 states/eV per cell.

=====

Record 11
La2ZnIrO6: PBEsol geometry, SCAN.

Lattice parameters (Å, degrees): 5.507 5.745 7.858 90.00 90.02 90.00
Last column: magnetic moment on the atom in μB.
Sites, in units of the cell vectors:
Ir 0.000 0.500 0.000  0.68
O 0.308 0.292 0.450  0.07
O 0.692 0.708 0.550  0.07
O 0.297 0.301 0.048  0.03
La 0.485 0.560 0.249  0.01
O 0.092 0.523 0.753  0.04
O 0.908 0.477 0.247  0.04
O 0.192 0.792 0.050  0.07
O 0.703 0.699 0.952  0.03
Ir 0.500 0.000 0.500  0.68
O 0.592 0.977 0.253  0.04
Zn 0.000 0.500 0.500  0.01
O 0.203 0.801 0.452  0.03
O 0.797 0.199 0.548  0.03
La 0.015 0.060 0.251  0.01
O 0.408 0.023 0.747  0.04
La 0.515 0.440 0.751  0.01
La 0.985 0.940 0.749  0.01
O 0.808 0.208 0.950  0.07
Zn 0.500 0.000 0.000  0.01

Results
Its uncorrected formation energy is -25.04 eV per formula unit. Its space group is P2_1/c (14). The value obtained for the spin magnetization is 2.04 μB per cell. The density comes out at 8435 kg/m³. The calculation puts the density of states at the Fermi level at 1.79 states/eV per cell.

=====

Record 12
LaIrOs: PBEsol geometry, SCAN.

Lattice parameters (Å, degrees): 2.893 2.893 6.919 102.07 102.07 90.00
Sites, in units of the cell vectors:
Os 0.356 0.356 0.713
La 0.667 0.667 0.335
Ir 0.976 0.976 0.953

Results
Its space group is I4mm (107). For the formation energy, the calculation gives 0.32 eV/f.u. The value obtained for the spin magnetization is 0.00 μB per cell. The density comes out at 15644 kg/m³. The calculation puts the density of states at the Fermi level at 1.43 states/eV per cell.